[1]
Crystalline AcCeHo2Hg4 at its relaxed geometry. Source: the Alexandria database, functional PBE.

Results
volume	227	Å³/cell
space-group type	R-3m (166)
formation energy from the elements	-397	meV per atom

Unit cell a=9.591 b=9.591 c=9.591 alpha=32.53 beta=32.53 gamma=32.53
Atoms (fractional coordinates):
1 Ac 0.000 0.000 0.000
2 Ce 0.500 0.500 0.500
3 Ho 0.245 0.245 0.245
4 Ho 0.755 0.755 0.755
5 Hg 0.127 0.127 0.127
6 Hg 0.382 0.382 0.382
7 Hg 0.618 0.618 0.618
8 Hg 0.873 0.873 0.873

[2]
Crystalline MoIrRu2 at its relaxed geometry. Source: the Alexandria database, functional PBE.

Results
volume	58	Å³/cell
space-group type	I-4m2 (119)
formation energy from the elements	-109	meV per atom

Unit cell a=4.740 b=4.740 c=4.740 alpha=131.83 beta=131.83 gamma=70.50
Atoms (fractional coordinates):
1 Mo 0.000 0.000 0.000
2 Ir 0.750 0.250 0.500
3 Ru 0.250 0.750 0.500
4 Ru 0.500 0.500 0.000

[3]
Crystalline Sr5PrSe6 at its relaxed geometry. Source: the Alexandria database, functional PBE.

Results
volume	364	Å³/cell
formation energy from raw total energies	-2.01	eV/atom
space-group type	C2/m (12)

Unit cell a=7.636 b=7.636 c=7.639 alpha=99.60 beta=99.60 gamma=119.99
Atoms (fractional coordinates):
1 Sr 0.000 0.000 0.000
2 Sr 0.166 0.834 0.500
3 Sr 0.332 0.668 0.000
4 Sr 0.668 0.332 0.000
5 Sr 0.834 0.166 0.500
6 Pr 0.500 0.500 0.500
7 Se 0.092 0.418 0.254
8 Se 0.256 0.256 0.746
9 Se 0.418 0.092 0.254
10 Se 0.582 0.908 0.746
11 Se 0.744 0.744 0.254
12 Se 0.908 0.582 0.746

[4]
Crystalline HgAu2Cl at its relaxed geometry. Source: the Alexandria database, functional PBE.

Results
volume	175	Å³/cell
formation energy from raw total energies	0.18	eV/atom
space-group type	I-42d (122)

Unit cell a=6.194 b=6.194 c=6.194 alpha=103.11 beta=103.11 gamma=123.11
Atoms (fractional coordinates):
1 Hg 0.000 0.000 0.000
2 Hg 0.750 0.250 0.500
3 Au 0.125 0.125 0.500
4 Au 0.375 0.875 0.000
5 Au 0.625 0.625 0.500
6 Au 0.875 0.375 0.000
7 Cl 0.250 0.750 0.500
8 Cl 0.500 0.500 0.000

[5]
Crystalline CsBiP2Cl at its relaxed geometry. Source: the Alexandria database, functional PBE.

Results
volume	174	Å³/cell
formation energy from raw total energies	0.07	eV/atom
space-group type	P4/mmm (123)

Unit cell a=5.366 b=5.366 c=6.027 alpha=90.00 beta=90.00 gamma=90.00
Atoms (fractional coordinates):
1 Cs 0.000 0.000 0.000
2 Bi 0.500 0.500 0.500
3 P 0.000 0.500 0.500
4 P 0.500 0.000 0.500
5 Cl 0.500 0.500 0.000

[6]
Crystalline PmScI6 at its relaxed geometry. Source: the Alexandria database, functional PBE.

Results
volume	379	Å³/cell
formation energy from raw total energies	-1.27	eV/atom
space-group type	C2/m (12)

Unit cell a=8.192 b=8.192 c=7.391 alpha=98.12 beta=98.12 gamma=126.35
Atoms (fractional coordinates):
1 Pm 0.000 0.000 0.000
2 Sc 0.500 0.500 0.500
3 I 0.124 0.410 0.265
4 I 0.256 0.256 0.741
5 I 0.410 0.124 0.265
6 I 0.590 0.876 0.735
7 I 0.744 0.744 0.259
8 I 0.876 0.590 0.735

[7]
Crystalline YPuTlBi at its relaxed geometry. Source: the Alexandria database, functional PBE.

Results
volume	114	Å³/cell
space-group type	F-43m (216)
formation energy from the elements	-284	meV per atom

Unit cell a=5.450 b=5.450 c=5.450 alpha=60.00 beta=60.00 gamma=60.00
Atoms (fractional coordinates):
1 Y 0.000 0.000 0.000
2 Pu 0.500 0.500 0.500
3 Tl 0.750 0.750 0.750
4 Bi 0.250 0.250 0.250

[8]
Crystalline Cs3Ce3CuS8 at its relaxed geometry. Source: the Alexandria database, functional PBE.

Results
volume	470	Å³/cell
formation energy from raw total energies	-1.43	eV/atom
space-group type	C2/m (12)

Unit cell a=8.064 b=8.064 c=9.064 alpha=113.16 beta=113.16 gamma=64.23
Atoms (fractional coordinates):
1 Cs 0.000 0.000 0.000
2 Cs 0.000 0.500 0.000
3 Cs 0.500 0.000 0.000
4 Ce 0.000 0.500 0.500
5 Ce 0.500 0.000 0.500
6 Ce 0.500 0.500 0.500
7 Cu 0.000 0.000 0.500
8 S 0.187 0.187 0.643
9 S 0.252 0.683 0.693
10 S 0.272 0.272 0.316
11 S 0.317 0.748 0.307
12 S 0.683 0.252 0.693
13 S 0.728 0.728 0.684
14 S 0.748 0.317 0.307
15 S 0.813 0.813 0.357

Question: Among the records above, which one has the highest volume?
Answer: Cs3Ce3CuS8

Question: volume of number 4 (HgAu2Cl)?
Answer: 175 Å³/cell

Question: Among the records above, which one has the lowest volume?
Answer: MoIrRu2

Question: What is the volume in the third record?
Answer: 364 Å³/cell